1.
Below is a relaxed structure of AlVF3, with properties calculated at the PBE with a Hubbard U level.

Summary:
**Calculated density**: 2.99 g cm⁻³
**Energy**: -5.373 eV/atom

```
AlVF3
1.0
4.215 0.000 0.000
0.000 4.215 0.000
0.000 0.000 4.215
V Al F
1 1 3
direct
0.000 0.000 0.000
0.500 0.500 0.500
0.000 0.500 0.000
0.000 0.000 0.500
0.500 0.000 0.000
```

2.
Below is a relaxed structure of Al3VF, with properties calculated at the PBE with a Hubbard U level.

Summary:
**Calculated density**: 3.11 g cm⁻³
**N(E_F)**: 1.6 states/eV/cell
**Energy**: -4.133 eV/atom

```
Al3VF
1.0
4.317 0.000 0.000
0.000 4.317 0.000
0.000 0.000 4.317
V Al F
1 3 1
direct
0.500 0.500 0.500
0.000 0.500 0.000
0.000 0.000 0.500
0.500 0.000 0.000
0.000 0.000 0.000
```

3.
Below is a relaxed structure of AlV2F8, with properties calculated at the PBE with a Hubbard U level.

Summary:
**Calculated density**: 3.66 g cm⁻³
**N(E_F)**: 1.5 states/eV/cell
**Energy**: -5.983 eV/atom

```
AlV2F8
1.0
4.686 -0.481 -0.365
-0.693 5.328 -0.162
-0.693 1.278 5.174
Al V F
1 2 8
direct
0.000 0.000 0.000
0.446 0.686 0.686
0.554 0.314 0.314
0.258 0.321 0.949
0.742 0.051 0.679
0.216 0.859 0.859
0.784 0.141 0.141
0.258 0.949 0.321
0.742 0.679 0.051
0.759 0.568 0.568
0.241 0.432 0.432
```

4.
Below is a relaxed structure of Al3VF, with properties calculated at the PBE with a Hubbard U level.

Summary:
**Calculated density**: 2.00 g cm⁻³
**N(E_F)**: 1.6 states/eV/cell
**Energy**: -3.577 eV/atom

```
Al3VF
1.0
5.004 0.000 0.000
0.000 5.004 0.000
0.000 0.000 5.004
V Al F
1 3 1
direct
0.000 0.000 0.000
0.000 0.500 0.000
0.000 0.000 0.500
0.500 0.000 0.000
0.500 0.500 0.500
```

5.
Below is a relaxed structure of AlV2F, with properties calculated at the PBE with a Hubbard U level.

Summary:
**Calculated density**: 3.67 g cm⁻³
**N(E_F)**: 4.2 states/eV/cell
**Energy**: -4.608 eV/atom

```
AlV2F
1.0
0.000 3.222 3.222
3.222 0.000 3.222
3.222 3.222 0.000
V Al F
2 1 1
direct
0.250 0.250 0.250
0.750 0.750 0.750
0.500 0.500 0.500
0.000 0.000 0.000
```

6.
Below is a relaxed structure of AlVF, with properties calculated at the PBE with a Hubbard U level.

Summary:
**Calculated density**: 3.17 g cm⁻³
**N(E_F)**: 1.2 states/eV/cell
**Energy**: -4.973 eV/atom

```
AlVF
1.0
-0.763 2.643 -0.813
-1.383 -1.328 2.041
9.212 5.724 9.965
V Al F
2 2 2
direct
0.500 0.000 0.000
0.392 0.784 0.500
0.729 0.458 0.348
0.729 0.458 0.652
0.158 0.317 0.911
0.158 0.317 0.089
```

7.
Below is a relaxed structure of AlV2F, with properties calculated at the PBE with a Hubbard U level.

Summary:
**Calculated density**: 3.61 g cm⁻³
**N(E_F)**: 2.4 states/eV/cell
**Energy**: -5.114 eV/atom

```
AlV2F
1.0
6.536 0.000 0.000
0.000 6.536 0.000
3.268 3.268 3.183
V Al F
4 2 2
direct
0.537 0.125 0.250
0.213 0.625 0.250
0.375 0.463 0.750
0.875 0.787 0.750
0.000 0.000 0.000
0.750 0.250 0.500
0.500 0.500 0.000
0.250 0.750 0.500
```

8.
Below is a relaxed structure of AlVF6, with properties calculated at the PBE with a Hubbard U level.

Summary:
**Calculated density**: 2.66 g cm⁻³
**N(E_F)**: 0.0 states/eV/cell
**Energy**: -5.794 eV/atom

```
AlVF6
1.0
5.269 0.227 -0.156
0.176 4.447 2.487
-0.141 -0.059 5.096
Al V F
1 1 6
direct
0.000 0.021 0.021
0.500 0.021 0.021
0.795 0.751 0.290
0.205 0.290 0.751
0.241 0.022 0.296
0.241 0.746 0.020
0.759 0.020 0.746
0.759 0.296 0.022
```

9.
Below is a relaxed structure of AlVF3, with properties calculated at the PBE with a Hubbard U level.

Summary:
**Calculated density**: 3.41 g cm⁻³
**N(E_F)**: 3.3 states/eV/cell
**Energy**: -4.968 eV/atom

```
AlVF3
1.0
-4.017 -0.361 -0.096
0.374 -3.890 -0.998
-0.003 -1.003 3.907
V Al F
1 1 3
direct
0.500 0.500 0.500
0.000 0.000 0.000
0.000 0.500 0.000
0.000 0.000 0.500
0.500 0.000 0.000
```

10.
Below is a relaxed structure of AlVW2F, with properties calculated at the PBE with a Hubbard U level.

Summary:
**Calculated density**: 8.18 g cm⁻³
**N(E_F)**: 3.2 states/eV/cell
**Energy**: -4.273 eV/atom

```
AlVW2F
1.0
-1.053 -4.921 -1.092
-0.650 -0.624 3.440
-4.952 1.218 -0.715
F Al W V
1 1 2 1
direct
0.000 0.500 0.000
0.000 0.000 0.000
0.000 0.000 0.500
0.500 0.000 0.000
0.500 0.500 0.500
```

11.
Below is a relaxed structure of AlW2F, with properties calculated at the PBE with a Hubbard U level.

Summary:
**Calculated density**: 10.21 g cm⁻³
**N(E_F)**: 2.6 states/eV/cell
**Energy**: -4.367 eV/atom

```
AlW2F
1.0
6.719 0.000 0.000
0.000 6.719 0.000
3.359 3.359 2.981
Al W F
2 4 2
direct
0.000 0.000 0.000
0.750 0.250 0.500
0.551 0.125 0.250
0.199 0.625 0.250
0.375 0.449 0.750
0.875 0.801 0.750
0.500 0.500 0.000
0.250 0.750 0.500
```

12.
Below is a relaxed structure of Al2WF, with properties calculated at the PBE with a Hubbard U level.

Summary:
**Calculated density**: 6.33 g cm⁻³
**N(E_F)**: 1.7 states/eV/cell
**Energy**: -3.979 eV/atom

```
Al2WF
1.0
1.083 2.818 3.425
-3.172 2.767 1.769
-1.624 -0.777 4.196
Al W F
2 1 1
direct
0.250 0.250 0.250
0.750 0.750 0.750
0.500 0.500 0.500
0.000 0.000 0.000
```

13.
Below is a relaxed structure of AlWF5, with properties calculated at the PBE with a Hubbard U level.

Summary:
**Calculated density**: 5.11 g cm⁻³
**N(E_F)**: 0.0 states/eV/cell
**Energy**: -5.580 eV/atom

```
AlWF5
1.0
-1.895 3.318 3.952
1.895 -3.318 3.952
1.895 3.318 -3.952
Al W F
1 1 5
direct
0.500 0.500 0.000
0.000 0.000 0.000
0.775 0.500 0.275
0.225 0.500 0.725
0.727 0.727 0.000
0.273 0.273 0.000
0.500 0.000 0.500
```

14.
Below is a relaxed structure of AlW2F, with properties calculated at the PBE with a Hubbard U level.

Summary:
**Calculated density**: 11.40 g cm⁻³
**N(E_F)**: 1.2 states/eV/cell
**Energy**: -4.186 eV/atom

```
AlW2F
1.0
0.000 3.112 3.112
3.112 0.000 3.112
3.112 3.112 0.000
Al W F
1 2 1
direct
0.500 0.500 0.500
0.250 0.250 0.250
0.750 0.750 0.750
0.000 0.000 0.000
```

15.
Below is a relaxed structure of Al4W2F, with properties calculated at the PBE with a Hubbard U level.

Summary:
**Calculated density**: 7.08 g cm⁻³
**N(E_F)**: 1.4 states/eV/cell
**Energy**: -4.236 eV/atom

```
Al4W2F
1.0
-1.256 2.861 -2.423
-2.490 1.274 2.795
3.386 6.597 2.806
Al W F
4 2 1
direct
0.816 0.816 0.369
0.184 0.184 0.631
0.000 0.500 0.000
0.500 0.000 0.000
0.630 0.630 0.740
0.370 0.370 0.260
0.000 0.000 0.000
```

16.
Below is a relaxed structure of YAl2WF, with properties calculated at the PBE with a Hubbard U level.

Summary:
**Calculated density**: 5.17 g cm⁻³
**N(E_F)**: 3.6 states/eV/cell
**Energy**: -4.716 eV/atom

```
YAl2WF
1.0
5.204 0.000 0.000
0.000 4.102 0.000
0.000 0.000 5.204
Y Al W F
1 2 1 1
direct
0.500 0.500 0.500
0.000 0.000 0.500
0.500 0.000 0.000
0.000 0.000 0.000
0.000 0.500 0.000
```

Calculated volume for the records above, in order: 74.9 80.5 127.3 125.3 66.9 101.6 136.0 119.8 65.6 94.3 134.6 67.3 99.4 60.2 116.0 111.1 Å³ per cell